a:
Below is crystalline FeW2Br at its relaxed geometry, with properties calculated at the GGA-PBE level.

size of the total moment: 0.0 Bohr magnetons per cell
crystal system: cubic

abc: 6.1945 6.1945 6.1945
angles: 90.00 90.00 90.00
Last column: nearest neighbours and their distance in Å.
Space group Fm-3m (No. 225)
Symmetry-distinct sites (fractional):
Fe (0.0000, 0.0000, 0.0000)  8 W 2.68
W (0.2500, 0.2500, 0.2500)  4 Fe 2.68, 4 Br 2.68
Br (0.0000, 0.0000, 0.5000)  8 W 2.68

=====

b:
Below is crystalline FeW2Br at its relaxed geometry, with properties calculated at the GGA-PBE level.

size of the total moment: 4.1 Bohr magnetons per cell
crystal system: orthorhombic

abc: 5.2954 8.3686 2.8651
angles: 90.00 90.00 90.00
Last column: nearest neighbours and their distance in Å.
Space group Cmmm (No. 65)
Symmetry-distinct sites (fractional):
Fe (0.0000, 0.0000, 0.0000)  2 Br 2.65, 8 W 2.86, 2 Fe 2.87
W (0.2500, 0.2500, 0.5000)  4 W 2.65-2.87, 4 Fe 2.86, 4 Br 2.86
Br (0.0000, 0.5000, 0.0000)  2 Fe 2.65, 8 W 2.86, 2 Br 2.87

=====

We find a to be the most stable, with the next structure 0.069 eV/atom higher.

=====

a:
Below is crystalline NaYZr at its relaxed geometry, with properties calculated at the GGA-PBE level.

size of the total moment: 0.0 Bohr magnetons per cell
crystal system: triclinic

abc: 3.3666 5.7673 9.3530
angles: 95.87 100.35 90.03
Last column: nearest neighbours and their distance in Å.
Space group P1 (No. 1)
Symmetry-distinct sites (fractional):
Na (0.0000, 0.0000, 0.0000)  6 Na 3.37-3.43, 2 Zr 3.50-3.51
Na (0.4563, 0.4870, 0.9164)  6 Na 3.37-3.43, 2 Zr 3.50-3.51
Y (0.1444, 0.5597, 0.2976)  6 Zr 3.25-3.39, 3 Y 3.37-3.47
Y (0.3055, 0.9328, 0.6189)  6 Zr 3.25-3.39, 3 Y 3.37-3.47
Zr (0.6646, 0.0600, 0.3360)  1 Zr 2.94, 2 Y 3.25
Zr (0.7855, 0.4325, 0.5804)  1 Zr 2.94, 2 Y 3.25

=====

b:
Below is crystalline NaYZr at its relaxed geometry, with properties calculated at the GGA-PBE level.

size of the total moment: 13.4 Bohr magnetons per cell
crystal system: cubic

abc: 7.5334 7.5334 7.5334
angles: 90.00 90.00 90.00
Last column: nearest neighbours and their distance in Å.
Space group F-43m (No. 216)
Symmetry-distinct sites (fractional):
Na (0.0000, 0.0000, 0.0000)  4 Zr 3.26
Y (0.0000, 0.0000, 0.5000)  4 Zr 3.26
Zr (0.2500, 0.2500, 0.7500)  4 Na 3.26, 4 Y 3.26

=====

We find a to be the most stable, with the next structure 1.024 eV/atom higher.

=====

a:
Below is crystalline CePaSi2 at its relaxed geometry, with properties calculated at the GGA-PBE level.

size of the total moment: 0.0 Bohr magnetons per cell
crystal system: trigonal

abc: 4.6203 4.6203 14.7372
angles: 90.00 90.00 120.00
Last column: nearest neighbours and their distance in Å.
Space group R-3m (No. 166, hexagonal axes)
Symmetry-distinct sites (fractional):
Ce (0.0000, 0.0000, 0.0000)  6 Si 2.97
Pa (0.0000, 0.0000, 0.5000)  6 Si 2.91
Si (0.0000, 0.0000, 0.2452)  3 Pa 2.91, 3 Ce 2.97

=====

b:
Below is crystalline CePaSi2 at its relaxed geometry, with properties calculated at the GGA-PBE level.

size of the total moment: 0.6 Bohr magnetons per cell
crystal system: monoclinic

abc: 4.2654 3.9011 5.7318
angles: 90.00 111.95 90.00
Last column: nearest neighbours and their distance in Å.
Space group Pm (No. 6)
Symmetry-distinct sites (fractional):
Ce (0.0000, 0.0000, 0.0000)  7 Si 2.96-3.18
Pa (0.2834, 0.5000, 0.5642)  7 Si 2.96-3.09
Si (0.5718, 0.5000, 0.1432)  2 Si 2.52
Si (0.7223, 0.0000, 0.4424)  2 Si 2.52

=====

We find b to be the most stable, with the next structure 0.125 eV/atom higher.

=====

a:
Below is crystalline Mn2CoCl at its relaxed geometry, with properties calculated at the GGA-PBE level.

size of the total moment: 6.9 Bohr magnetons per cell
crystal system: tetragonal

abc: 2.9170 2.9170 7.0333
angles: 90.00 90.00 90.00
Last column: nearest neighbours and their distance in Å.
Space group P4mm (No. 99)
Symmetry-distinct sites (fractional):
Mn (0.0000, 0.0000, 0.0000)  4 Co 2.37, 4 Mn 2.64
Mn (0.5000, 0.5000, 0.2353)  4 Cl 2.59, 4 Mn 2.64, 1 Co 2.82
Co (0.5000, 0.5000, 0.8343)  4 Mn 2.37
Cl (0.0000, 0.0000, 0.4580)  4 Mn 2.59

=====

b:
Below is crystalline Mn2CoCl at its relaxed geometry, with properties calculated at the GGA-PBE level.

size of the total moment: 9.1 Bohr magnetons per cell
crystal system: monoclinic

abc: 3.0489 2.9686 6.8775
angles: 90.00 90.09 90.00
Last column: nearest neighbours and their distance in Å.
Space group P2/m (No. 10)
Symmetry-distinct sites (fractional):
Mn (0.0009, 0.0000, 0.2025)  2 Cl 2.53, 4 Co 2.54, 1 Mn 2.79
Co (0.5000, 0.5000, 0.0000)  8 Mn 2.54
Cl (0.0000, 0.5000, 0.5000)  4 Mn 2.53

=====

We find b to be the most stable, with the next structure 0.301 eV/atom higher.

=====

a:
Below is crystalline CeGd2Te at its relaxed geometry, with properties calculated at the GGA-PBE level.

size of the total moment: 13.6 Bohr magnetons per cell
crystal system: tetragonal

abc: 3.8832 3.8832 7.8531
angles: 90.00 90.00 90.00
Last column: nearest neighbours and their distance in Å.
Space group P4/mmm (No. 123)
Symmetry-distinct sites (fractional):
Ce (0.0000, 0.0000, 0.0000)  8 Gd 3.50, 4 Ce 3.88
Gd (0.5000, 0.5000, 0.2760)  4 Te 3.26, 4 Ce 3.50, 1 Gd 3.52
Te (0.0000, 0.0000, 0.5000)  8 Gd 3.26

=====

b:
Below is crystalline CeGd2Te at its relaxed geometry, with properties calculated at the GGA-PBE level.

size of the total moment: 15.7 Bohr magnetons per cell
crystal system: tetragonal

abc: 4.8324 4.8324 4.7353
angles: 90.00 90.00 90.00
Last column: nearest neighbours and their distance in Å.
Space group P4/mmm (No. 123)
Symmetry-distinct sites (fractional):
Ce (0.0000, 0.0000, 0.0000)  8 Gd 3.38, 4 Te 3.42
Gd (0.0000, 0.5000, 0.5000)  4 Ce 3.38, 4 Te 3.38, 4 Gd 3.42
Te (0.5000, 0.5000, 0.0000)  8 Gd 3.38, 4 Ce 3.42

=====

We find a to be the most stable, with the next structure 0.053 eV/atom higher.